# Ba2MnBr

An optimized crystal structure of Ba2MnBr (PBE, the Alexandria database).

Unit cell a=6.159 b=6.159 c=6.159 alpha=129.76 beta=114.00 gamma=87.35
Positions (direct):
Ba  0.240  0.240  0.000
Ba  0.760  0.760  0.000
Mn  0.500  0.000  0.500
Br  0.000  0.500  0.500

Properties
formation energy without anion corrections	-0.18	eV per atom
uncorrected energy	-15.41	eV for the cell shown
space group	No. 71